1.
Density functional theory data (GGA-PBE) for NdTmMgOs after structural relaxation.

Unit cell a=7.135 b=7.135 c=7.135 alpha=90.00 beta=90.00 gamma=90.00
Space group F-43m (No. 216)
Unique sites:
Nd  0.000  0.000  0.000 (multiplicity 4)
Tm  0.000  0.000  0.500 (multiplicity 4)
Mg  0.250  0.250  0.250 (multiplicity 4)
Os  0.250  0.250  0.750 (multiplicity 4)

Calculated values
Uncorrected energy, eV/atom: -5.5922
Theoretical density, g/cm³: 9.65
Total magnetic moment, μB/f.u.: 0.0
Formation energy, meV/atom: -76
Crystal system: cubic
D(E_F), states/eV/f.u.: 2.99

2.
Density functional theory data (GGA-PBE) for TlCdAu3 after structural relaxation.

Unit cell a=5.275 b=5.275 c=5.275 alpha=90.00 beta=90.00 gamma=90.00
Space group Pm-3m (No. 221)
Unique sites:
Tl  0.000  0.000  0.000 (multiplicity 1)
Cd  0.500  0.500  0.500 (multiplicity 1)
Au  0.000  0.500  0.500 (multiplicity 3)

Calculated values
Uncorrected energy, eV/atom: -2.2865
Theoretical density, g/cm³: 10.27
Total magnetic moment, μB/f.u.: 0.0
Formation energy, meV/atom: 336
Crystal system: cubic
D(E_F), states/eV/f.u.: 1.13

3.
Density functional theory data (GGA-PBE) for HfZnNi2 after structural relaxation.

Unit cell a=3.140 b=3.140 c=5.767 alpha=90.00 beta=90.00 gamma=90.00
Space group P4/mmm (No. 123)
Unique sites:
Hf  0.000  0.000  0.000 (multiplicity 1)
Zn  0.000  0.000  0.500 (multiplicity 1)
Ni  0.500  0.500  0.266 (multiplicity 2)

Calculated values
Uncorrected energy, eV/atom: -6.0653
Theoretical density, g/cm³: 10.55
Total magnetic moment, μB/f.u.: 0.0
Formation energy, meV/atom: -368
Crystal system: tetragonal
D(E_F), states/eV/f.u.: 1.58

4.
Density functional theory data (GGA-PBE) for Mg4Si3 after structural relaxation.

Unit cell a=6.561 b=6.859 c=7.197 alpha=114.82 beta=97.81 gamma=101.20
Space group P-1 (No. 2)
Unique sites:
Mg  0.071  0.293  0.443 (multiplicity 2)
Mg  0.232  0.556  0.964 (multiplicity 2)
Mg  0.253  0.066  0.033 (multiplicity 2)
Mg  0.330  0.076  0.629 (multiplicity 2)
Si  0.051  0.857  0.231 (multiplicity 2)
Si  0.348  0.705  0.677 (multiplicity 2)
Si  0.416  0.532  0.321 (multiplicity 2)

Calculated values
Uncorrected energy, eV/atom: -3.2121
Theoretical density, g/cm³: 2.16
Total magnetic moment, μB/f.u.: 0.0
Formation energy from raw total energies, eV per formula unit: 0.16
Crystal system: triclinic
D(E_F), states/eV/f.u.: 1.61

5.
Density functional theory data (GGA-PBE) for Al2OsAuI after structural relaxation.

Unit cell a=4.807 b=4.807 c=5.311 alpha=90.00 beta=90.00 gamma=90.00
Space group P4/mmm (No. 123)
Unique sites:
Al  0.000  0.500  0.000 (multiplicity 2)
Os  0.000  0.000  0.000 (multiplicity 1)
Au  0.500  0.500  0.500 (multiplicity 1)
I  0.000  0.000  0.500 (multiplicity 1)

Calculated values
Uncorrected energy, eV/atom: -4.1017
Theoretical density, g/cm³: 7.69
Total magnetic moment, μB/f.u.: 0.0
Formation energy from raw total energies, eV per formula unit: 3.03
Crystal system: tetragonal
D(E_F), states/eV/f.u.: 6.16

6.
Density functional theory data (GGA-PBE) for RbP3Se after structural relaxation.

Unit cell a=5.414 b=5.414 c=5.414 alpha=90.00 beta=90.00 gamma=90.00
Space group Pm-3m (No. 221)
Unique sites:
Rb  0.000  0.000  0.000 (multiplicity 1)
P  0.000  0.000  0.500 (multiplicity 3)
Se  0.500  0.500  0.500 (multiplicity 1)

Calculated values
Uncorrected energy, eV/atom: -1.7871
Theoretical density, g/cm³: 2.69
Total magnetic moment, μB/f.u.: 0.0
Formation energy from raw total energies, eV per formula unit: 11.75
Crystal system: cubic
D(E_F), states/eV/f.u.: 9.18